First-principles (PBE) data for a geometry-optimized AgSnAsO6 structure, as listed in Alexandria via LeMat-Bulk.

The structure in extended XYZ format:
```
18
Lattice="-2.510 -1.725 -4.274 0.555 -3.145 4.165 -7.889 3.092 3.386" Properties=species:S:1:pos:R:3 pbc="T T T"
Ag -3.945 1.546 1.693
Ag 0.000 0.000 0.000
Sn -6.384 -0.352 3.891
Sn -3.461 -1.425 -0.615
O -2.272 -2.698 0.518
O -8.433 1.454 0.267
O -7.573 0.921 2.759
O -0.939 -0.822 1.911
O -5.953 1.219 0.659
O -6.308 -1.109 1.958
O -1.411 -3.231 3.010
O -3.536 -0.668 1.319
O -8.906 -0.955 1.366
O -3.892 -2.997 2.618
O -7.260 -0.803 -0.539
O -2.585 -0.974 3.816
As -7.406 0.121 1.078
As -2.439 -1.898 2.198
```

- Density: 6.06 Mg/m³
- Raw formation energy: -0.859 eV per atom